VASP calculation (PBE) on an optimized crystal structure of BaPrTcN3.

Cell: 6.2947 6.2947 7.0545 Å, 90.00 90.00 120.00°
Each line ends with the local moment (μB).
Element x y z (fractional)
N 0.1647 0.8353 0.2500  0.02
N 0.8353 0.1647 0.7500  0.02
Ba 0.3333 0.6667 0.7500  0.00
N 0.3294 0.1647 0.7500  0.02
Tc 0.6667 0.3333 0.7500  0.58
N 0.6706 0.8353 0.2500  0.02
Ba 0.6667 0.3333 0.2500  0.00
Tc 0.3333 0.6667 0.2500  0.58
N 0.1647 0.3294 0.2500  0.02
N 0.8353 0.6706 0.7500  0.02
Pr 0.0000 0.0000 0.0000  0.09
Pr 0.0000 0.0000 0.5000  0.09

ρ: 5.74 Mg/m³
Energy relative to the elements, uncorrected: -672 meV/atom
DOS at the Fermi energy: 0.5567 states/eV per atom


VASP calculation (PBE) on an optimized crystal structure of Cs3Cd4In2.

Cell: 8.2404 10.2157 10.2157 Å, 76.40 80.45 80.45°
Element x y z (fractional)
Cd 0.8458 0.7561 0.6718
In 0.4529 0.1699 0.4684
Cd 0.3672 0.9740 0.3057
Cs 0.9008 0.9606 0.2545
Cd 0.1328 0.6943 0.0260
Cs 0.5992 0.7455 0.0394
Cd 0.8672 0.3057 0.9740
Cd 0.1542 0.2439 0.3282
Cd 0.6542 0.3282 0.2439
Cd 0.6328 0.0260 0.6943
Cs 0.7500 0.4263 0.5737
In 0.0471 0.5316 0.8301
Cd 0.3458 0.6718 0.7561
Cs 0.0992 0.0394 0.7455
In 0.5471 0.8301 0.5316
Cs 0.2500 0.5737 0.4263
Cs 0.4008 0.2545 0.9606
In 0.9529 0.4684 0.1699

ρ: 4.38 Mg/m³
Energy relative to the lowest polymorph listed for this composition: 56.3 meV per atom
DOS at the Fermi energy: 0.5251 states/eV per atom
Energy relative to the elements: -0.19 eV/f.u.


VASP calculation (PBE) on an optimized crystal structure of Cs2AlTcI6.

Cell: 8.3192 8.3192 8.3158 Å, 59.99 59.99 90.00°
Each line ends with the local moment (μB).
Element x y z (fractional)
Cs 0.2500 0.7500 0.5000  0.00
I 0.2373 0.7627 0.0000  0.01
Tc 0.0000 0.0000 0.0000  1.65
Al 0.5000 0.5000 0.0000  -0.02
Cs 0.7500 0.2500 0.5000  0.00
I 0.7627 0.7627 0.0000  0.01
I 0.7624 0.7624 0.4751  0.01
I 0.2373 0.2373 0.0000  0.01
I 0.7627 0.2373 0.0000  0.01
I 0.2376 0.2376 0.5249  0.01

ρ: 4.70 Mg/m³
Energy relative to the elements, uncorrected: -622 meV/atom
DOS at the Fermi energy: 0.6518 states/eV per atom


VASP calculation (PBE) on an optimized crystal structure of Rb2BaNa16.

Cell: 9.5270 9.5270 9.5270 Å, 82.25 82.25 82.25°
Element x y z (fractional)
Na 0.8496 0.3465 0.3465
Na 0.4841 0.0064 0.0064
Na 0.3465 0.3465 0.8496
Na 0.0064 0.4841 0.0064
Ba 0.9017 0.9017 0.9017
Na 0.6476 0.1613 0.6476
Rb 0.6505 0.6505 0.6505
Na 0.1070 0.1070 0.1070
Na 0.0064 0.0064 0.4841
Rb 0.3402 0.3402 0.3402
Na 0.7027 0.0008 0.2988
Na 0.0008 0.2988 0.7027
Na 0.1613 0.6476 0.6476
Na 0.7027 0.2988 0.0008
Na 0.2988 0.7027 0.0008
Na 0.2988 0.0008 0.7027
Na 0.6476 0.6476 0.1613
Na 0.3465 0.8496 0.3465
Na 0.0008 0.7027 0.2988

ρ: 1.33 Mg/m³
DOS at the Fermi energy: 0.5212 states/eV per atom
Energy relative to the elements: 0.46 eV/f.u.


VASP calculation (PBE) on an optimized crystal structure of CaZrAs.

Cell: 5.8134 13.2931 3.7394 Å, 90.00 90.00 90.00°
Element x y z (fractional)
As 0.5000 0.1274 0.0000
Zr 0.7454 0.0000 0.5000
Ca 0.0000 0.8029 0.0000
Zr 0.2454 0.5000 0.0000
Ca 0.0000 0.1971 0.0000
Zr 0.7546 0.5000 0.0000
Ca 0.5000 0.6971 0.5000
Zr 0.2546 0.0000 0.5000
Ca 0.5000 0.3029 0.5000
As 0.5000 0.8726 0.0000
As 0.0000 0.3726 0.5000
As 0.0000 0.6274 0.5000

ρ: 4.74 Mg/m³
Energy relative to the lowest polymorph listed for this composition: 201.4 meV per atom
DOS at the Fermi energy: 0.6878 states/eV per atom
Energy relative to the elements: -2.16 eV/f.u.


VASP calculation (PBE) on an optimized crystal structure of LiYCoSb.

Cell: 4.5894 4.5894 4.5894 Å, 60.00 60.00 60.00°
Element x y z (fractional)
Y 0.5000 0.5000 0.5000
Li 0.2500 0.2500 0.2500
Co 0.7500 0.7500 0.7500
Sb 0.0000 0.0000 0.0000

ρ: 6.72 Mg/m³
Energy relative to the elements, uncorrected: -517 meV/atom


VASP calculation (PBE) on an optimized crystal structure of CsLa2Br2F5.

Cell: 3.7307 10.7439 10.7439 Å, 90.00 90.00 90.00°
Element x y z (fractional)
F 0.5000 0.2412 0.0783
F 0.5000 0.7412 0.4217
Cs 0.0000 0.5000 0.5000
F 0.5000 0.4217 0.2588
F 0.5000 0.5000 0.0000
Cs 0.0000 0.0000 0.0000
La 0.0000 0.6265 0.8735
F 0.5000 0.0783 0.7588
F 0.5000 0.5783 0.7412
La 0.0000 0.1265 0.6265
Br 0.0000 0.6685 0.1685
La 0.0000 0.3735 0.1265
F 0.5000 0.7588 0.9217
Br 0.0000 0.3315 0.8315
F 0.5000 0.0000 0.5000
Br 0.0000 0.1685 0.3315
La 0.0000 0.8735 0.3735
F 0.5000 0.9217 0.2412
F 0.5000 0.2588 0.5783
Br 0.0000 0.8315 0.6685

ρ: 5.13 Mg/m³
Energy relative to the elements, uncorrected: -3229 meV/atom
DOS at the Fermi energy: 0.0000 states/eV per atom


VASP calculation (PBE) on an optimized crystal structure of Pr3Sm2Ho.

Cell: 11.3127 8.9925 8.9925 Å, 45.71 51.02 51.02°
Element x y z (fractional)
Sm 0.5509 0.1937 0.1937
Pr 0.2339 0.5161 0.0161
Pr 0.7661 0.4839 0.9839
Pr 0.5000 0.2500 0.7500
Ho 0.0000 0.0000 0.0000
Pr 0.5000 0.7500 0.2500
Sm 0.9383 0.3063 0.3063
Ho 0.0000 0.5000 0.5000
Pr 0.7661 0.9839 0.4839
Sm 0.0617 0.6937 0.6937
Sm 0.4491 0.8063 0.8063
Pr 0.2339 0.0161 0.5161

ρ: 6.17 Mg/m³
Energy relative to the lowest polymorph listed for this composition: 507.0 meV per atom
DOS at the Fermi energy: 1.7251 states/eV per atom
Energy relative to the elements: 3.34 eV/f.u.


VASP calculation (PBE) on an optimized crystal structure of HoVInCl6.

Cell: 6.6267 6.6267 14.3642 Å, 90.00 90.00 120.00°
Each line ends with the local moment (μB).
Element x y z (fractional)
Cl 0.9831 0.6255 0.8521  -0.01
V 0.3333 0.6667 0.2500  2.57
Cl 0.6255 0.6424 0.1479  -0.01
Cl 0.0169 0.3745 0.1479  -0.01
Cl 0.6255 0.9831 0.3521  -0.01
Ho 0.3333 0.6667 0.7500  0.02
Cl 0.9831 0.3576 0.6479  -0.01
Cl 0.3576 0.3745 0.3521  -0.01
Cl 0.3576 0.9831 0.1479  -0.01
Cl 0.6424 0.0169 0.8521  -0.01
Cl 0.6424 0.6255 0.6479  -0.01
In 0.0000 0.0000 0.5000  0.01
Cl 0.3745 0.0169 0.6479  -0.01
V 0.6667 0.3333 0.7500  2.57
Ho 0.6667 0.3333 0.2500  0.02
Cl 0.3745 0.3576 0.8521  -0.01
In 0.0000 0.0000 0.0000  0.01
Cl 0.0169 0.6424 0.3521  -0.01

ρ: 3.30 Mg/m³
Energy relative to the elements, uncorrected: -1587 meV/atom


VASP calculation (PBE) on an optimized crystal structure of MnBr2Cl.

Cell: 3.3881 6.6213 6.6355 Å, 60.99 90.00 90.00°
Each line ends with the local moment (μB).
Element x y z (fractional)
Mn 0.5000 0.8184 0.6741  3.83
Br 0.5000 0.1804 0.3071  -0.09
Cl 0.0000 0.6051 0.6144  0.02
Br 0.0000 0.8962 0.9044  -0.03

ρ: 3.19 Mg/m³
Energy relative to the elements, uncorrected: -673 meV/atom
Energy relative to the lowest polymorph listed for this composition: 46.2 meV per atom
DOS at the Fermi energy: 0.5523 states/eV per atom


VASP calculation (PBE) on an optimized crystal structure of PmTm2Tl.

Cell: 5.4525 5.4525 5.4525 Å, 60.00 60.00 60.00°
Each line ends with the local moment (μB).
Element x y z (fractional)
Tm 0.7500 0.7500 0.7500  0.36
Tl 0.5000 0.5000 0.5000  0.01
Tm 0.2500 0.2500 0.2500  0.36
Pm 0.0000 0.0000 0.0000  0.43

ρ: 9.96 Mg/m³
Energy relative to the lowest polymorph listed for this composition: 192.8 meV per atom
DOS at the Fermi energy: 1.3662 states/eV per atom
Energy relative to the elements: 0.08 eV/f.u.


VASP calculation (PBE) on an optimized crystal structure of TlTcBi2Au.

Cell: 5.2511 5.3677 5.2511 Å, 90.00 90.00 90.00°
Element x y z (fractional)
Au 0.5000 0.5000 0.5000
Tc 0.0000 0.0000 0.0000
Bi 0.0000 0.0000 0.5000
Tl 0.0000 0.5000 0.0000
Bi 0.5000 0.0000 0.0000

ρ: 10.29 Mg/m³
DOS at the Fermi energy: 0.8316 states/eV per atom
Energy relative to the elements: 2.41 eV/f.u.


- Number 3 is which compound?
  Cs2AlTcI6